Record 1
Density functional theory data (PBE) for crystalline RbTiNb2O8 at its relaxed geometry.

Cell lengths 5.6045, 5.6048, 7.6817 Å; angles 74.84, 74.84, 65.45 degrees
Positions (direct):
O: 0.6172 0.6169 0.4867
O: 0.2199 0.7515 0.8260
Nb: 0.4167 0.4168 0.7540
O: 0.7515 0.2199 0.8260
Ti: 0.0000 0.0000 0.0000
O: 0.2164 0.2164 0.8901
O: 0.7836 0.7836 0.1099
O: 0.7801 0.2485 0.1740
Rb: 0.0000 0.0000 0.5000
Nb: 0.5833 0.5832 0.2460
O: 0.3828 0.3831 0.5133
O: 0.2485 0.7801 0.1740

Calculated values
**Energy relative to the elements, uncorrected**: -28.5 eV/f.u.
**Magnetization**: 0.0860 μB per atom


Record 2
Density functional theory data (PBE) for crystalline Er6PaO12 at its relaxed geometry.

Cell lengths 6.5462, 6.5462, 6.5462 Å; angles 99.44, 99.44, 99.44 degrees
Positions (direct):
O: 0.8214 0.5716 0.4183
O: 0.6818 0.9214 0.0577
O: 0.5817 0.1786 0.4284
O: 0.1786 0.4284 0.5817
Er: 0.6083 0.3154 0.1426
O: 0.3182 0.0786 0.9423
O: 0.4284 0.5817 0.1786
O: 0.4183 0.8214 0.5716
Pa: 0.0000 0.0000 0.0000
Er: 0.3917 0.6846 0.8574
O: 0.0577 0.6818 0.9214
Er: 0.6846 0.8574 0.3917
Er: 0.3154 0.1426 0.6083
O: 0.9423 0.3182 0.0786
O: 0.0786 0.9423 0.3182
Er: 0.1426 0.6083 0.3154
O: 0.5716 0.4183 0.8214
O: 0.9214 0.0577 0.6818
Er: 0.8574 0.3917 0.6846

Calculated values
**Energy relative to the elements, uncorrected**: -67.1 eV/f.u.
**Magnetization**: 0.0495 μB per atom


Record 3
Density functional theory data (PBE) for crystalline LiSmGa2Pd5 at its relaxed geometry.

Cell lengths 4.1460, 4.1460, 9.5005 Å; angles 90.00, 90.00, 90.00 degrees
Positions (direct):
Sm: 0.0000 0.0000 0.5000
Pd: 0.0000 0.5000 0.7244
Ga: 0.5000 0.5000 0.8683
Li: 0.0000 0.0000 0.0000
Pd: 0.5000 0.0000 0.7244
Pd: 0.5000 0.0000 0.2756
Pd: 0.0000 0.5000 0.2756
Ga: 0.5000 0.5000 0.1317
Pd: 0.5000 0.5000 0.5000

Calculated values
**E**: -44.35 eV for the cell shown
**Magnetization**: 0.0000 μB per atom


Record 4
Density functional theory data (PBE) for crystalline Pm5Al2Au at its relaxed geometry.

Cell lengths 7.6919, 7.6919, 9.4289 Å; angles 114.07, 114.07, 90.00 degrees
Positions (direct):
Pm: 0.1776 0.0241 0.7017
Pm: 0.9759 0.4759 0.2983
Al: 0.8815 0.6185 0.0000
Al: 0.3815 0.8815 0.0000
Au: 0.7500 0.7500 0.5000
Pm: 0.6776 0.1776 0.7017
Pm: 0.0000 0.0000 0.0000
Al: 0.1185 0.3815 0.0000
Al: 0.6185 0.1185 0.0000
Pm: 0.3224 0.8224 0.2983
Pm: 0.0241 0.5241 0.7017
Pm: 0.8224 0.9759 0.2983
Pm: 0.5241 0.6776 0.7017
Pm: 0.4759 0.3224 0.2983
Pm: 0.5000 0.5000 0.0000
Au: 0.2500 0.2500 0.5000

Calculated values
**E**: -74.87 eV for the cell shown
**Magnetization**: 0.0000 μB per atom


Record 5
Density functional theory data (PBE) for crystalline Ac5Pr2Sm at its relaxed geometry.

Cell lengths 5.5425, 7.7062, 15.4285 Å; angles 90.00, 90.00, 90.00 degrees
Positions (direct):
Sm: 0.0000 0.5000 0.0000
Pr: 0.5000 0.2452 0.1238
Ac: 0.0000 0.5084 0.7536
Ac: 0.5000 0.7421 0.1216
Ac: 0.0000 0.5000 0.5000
Ac: 0.5000 0.7579 0.6216
Sm: 0.0000 0.0000 0.5000
Pr: 0.5000 0.2548 0.6238
Ac: 0.0000 0.4916 0.2464
Ac: 0.0000 0.9916 0.2536
Ac: 0.0000 0.0000 0.0000
Ac: 0.0000 0.0084 0.7464
Pr: 0.5000 0.7548 0.8762
Ac: 0.5000 0.2421 0.3784
Pr: 0.5000 0.7452 0.3762
Ac: 0.5000 0.2579 0.8784

Calculated values
**E**: -69.19 eV for the cell shown
**Magnetization**: 0.0000 μB per atom


Record 6
Density functional theory data (PBE) for crystalline K2TlH3 at its relaxed geometry.

Cell lengths 6.5446, 6.5437, 6.7477 Å; angles 90.00, 90.00, 120.01 degrees
Positions (direct):
K: 0.3333 0.6666 0.5000
H: 0.0001 0.6418 0.7500
H: 0.3583 0.3582 0.7500
K: 0.3333 0.6666 0.0000
Tl: 0.0001 0.0000 0.2500
K: 0.6667 0.3334 0.0000
H: 0.6414 0.0000 0.7500
K: 0.6667 0.3334 0.5000
H: 0.6417 0.6418 0.2500
H: 0.9999 0.3582 0.2500
H: 0.3586 0.0000 0.2500
Tl: 0.9999 0.0000 0.7500

Calculated values
**E**: -28.61 eV for the cell shown
**Magnetization**: 0.0000 μB per atom


Record 7
Density functional theory data (PBE) for crystalline SrCaZnBr2 at its relaxed geometry.

Cell lengths 5.7215, 5.9098, 5.7215 Å; angles 90.00, 90.00, 90.00 degrees
Positions (direct):
Br: 0.0000 0.0000 0.5000
Br: 0.5000 0.0000 0.0000
Sr: 0.0000 0.5000 0.0000
Zn: 0.0000 0.0000 0.0000
Ca: 0.5000 0.5000 0.5000

Calculated values
**Energy relative to the elements, uncorrected**: -1.5 eV/f.u.
**Magnetization**: 0.0000 μB per atom


Record 8
Density functional theory data (PBE) for crystalline SrBeCo2 at its relaxed geometry.

Cell lengths 3.0311, 3.0312, 6.8551 Å; angles 90.00, 90.00, 90.03 degrees
Positions (direct):
Sr: 0.0000 0.0000 0.4997
Co: 0.5000 0.5000 0.1633
Be: 0.5000 0.5000 0.8454
Co: 0.0000 0.0000 0.9916

Calculated values
**E**: -18.02 eV for the cell shown
**Magnetization**: 0.7479 μB per atom


Record 9
Density functional theory data (PBE) for crystalline CsBi2Au4 at its relaxed geometry.

Cell lengths 8.0504, 8.0504, 8.0504 Å; angles 115.84, 106.38, 106.38 degrees
Positions (direct):
Au: 0.5000 0.6766 0.4979
Bi: 0.5000 0.3717 0.1283
Au: 0.1787 0.1766 0.6766
Au: 0.5000 0.9979 0.1766
Au: 0.1787 0.5021 0.0021
Au: 0.8213 0.4979 0.9979
Cs: 0.0000 0.2500 0.2500
Cs: 0.0000 0.7500 0.7500
Bi: 0.7566 0.1283 0.6283
Bi: 0.5000 0.6283 0.8717
Au: 0.5000 0.3234 0.5021
Au: 0.5000 0.0021 0.8234
Bi: 0.2434 0.8717 0.3717
Au: 0.8213 0.8234 0.3234

Calculated values
**E**: -45.12 eV for the cell shown
**Magnetization**: 0.0000 μB per atom


Record 10
Density functional theory data (PBE) for crystalline Sc3InO at its relaxed geometry.

Cell lengths 5.3256, 5.3256, 5.3256 Å; angles 109.06, 109.06, 109.06 degrees
Positions (direct):
Sc: 0.9119 0.2867 0.9119
O: 0.1720 0.1720 0.1720
Sc: 0.9119 0.9119 0.2867
In: 0.5925 0.5925 0.5925
Sc: 0.2867 0.9119 0.9119

Calculated values
**Energy relative to the elements, uncorrected**: -4.3 eV/f.u.
**Magnetization**: 0.0000 μB per atom


Record 11
Density functional theory data (PBE) for crystalline Nd4Dy3ErS8 at its relaxed geometry.

Cell lengths 7.8973, 8.0422, 7.8975 Å; angles 119.41, 120.00, 90.00 degrees
Positions (direct):
Dy: 0.5000 0.5000 0.5000
S: 0.2429 0.7319 0.9890
S: 0.7444 0.7333 0.4889
Nd: 0.5000 0.0000 0.0000
Nd: 0.0000 0.0000 0.0000
Dy: 0.5000 0.5000 0.0000
Nd: 0.5000 0.0000 0.5000
S: 0.2540 0.2681 0.0110
S: 0.2556 0.2667 0.5111
S: 0.2430 0.7320 0.4860
S: 0.7571 0.2681 0.0110
Er: 0.0000 0.5000 0.0000
S: 0.7460 0.7319 0.9890
Dy: 0.0000 0.5000 0.5000
Nd: 0.0000 0.0000 0.5000
S: 0.7570 0.2680 0.5140

Calculated values
**Energy relative to the elements, uncorrected**: -32.1 eV/f.u.
**Magnetization**: 0.0000 μB per atom


Record 12
Density functional theory data (PBE) for crystalline Tb4Nd9In11 at its relaxed geometry.

Cell lengths 3.5504, 14.0632, 14.0632 Å; angles 99.63, 90.00, 90.00 degrees
Positions (direct):
Nd: 0.5000 0.2084 0.0341
Nd: 0.5000 0.7916 0.9659
Nd: 0.5000 0.8574 0.3749
Nd: 0.5000 0.9659 0.7916
Tb: 0.5000 0.5683 0.7372
In: 0.0000 0.6359 0.3641
In: 0.0000 0.3641 0.6359
In: 0.0000 0.9322 0.5796
Nd: 0.5000 0.1426 0.6251
Nd: 0.5000 0.6251 0.1426
Nd: 0.5000 0.5000 0.5000
In: 0.0000 0.2384 0.2384
In: 0.0000 0.5796 0.9322
In: 0.0000 0.4204 0.0678
Tb: 0.5000 0.4317 0.2628
In: 0.0000 0.7616 0.7616
In: 0.0000 0.1681 0.8319
Nd: 0.5000 0.3749 0.8574
Nd: 0.5000 0.0341 0.2084
In: 0.0000 0.0678 0.4204
In: 0.0000 0.0000 0.0000
In: 0.0000 0.8319 0.1681
Tb: 0.5000 0.2628 0.4317
Tb: 0.5000 0.7372 0.5683

Calculated values
**E**: -101.40 eV for the cell shown
**Magnetization**: 0.0000 μB per atom


Q: Look up the magnetization of the third one.
A: 0.0000 μB per atom